# 1
CeNF: optimized geometry, GGA-PBE.

Lattice parameters (Å, degrees): 3.6742 3.6742 5.0271 90.00 90.00 120.00
Space group P3m1 (No. 156)
Unique sites:
Ce 0.0000 0.0000 0.0000 x1
N 0.6667 0.3333 0.1353 x1
F 0.3333 0.6667 0.7496 x1

Energy relative to the elements, uncorrected (meV per atom): -2273.3



# 2
Mg6GaBi: optimized geometry, GGA-PBE.

Lattice parameters (Å, degrees): 5.0433 6.5249 11.2813 90.00 90.00 90.00
Space group Amm2 (No. 38)
Unique sites:
Mg 0.0000 0.0000 0.0000 x2
Mg 0.0000 0.0000 0.4903 x2
Mg 0.0000 0.2323 0.2404 x4
Mg 0.5000 0.2474 0.5746 x4
Ga 0.5000 0.0000 0.3319 x2
Bi 0.5000 0.0000 0.8242 x2

Energy relative to the lowest polymorph listed for this composition (meV/atom): 0
ΔH_f (0 K) (eV/atom): -0.05



# 3
SbIrCl3: optimized geometry, GGA-PBE.

Lattice parameters (Å, degrees): 4.8209 4.8209 4.8209 90.00 90.00 90.00
Space group Pm-3m (No. 221)
Unique sites:
Sb 0.0000 0.0000 0.0000 x1
Ir 0.5000 0.5000 0.5000 x1
Cl 0.0000 0.5000 0.5000 x3

Energy relative to the lowest polymorph listed for this composition (meV/atom): 0
Energy relative to the elements, uncorrected (meV per atom): 297.4



# 4
Pm2BeInPd6: optimized geometry, GGA-PBE.

Lattice parameters (Å, degrees): 5.7681 5.7934 7.4461 89.77 67.38 60.18
Space group P-1 (No. 2)
Unique sites:
Pm 0.0574 0.2714 0.2139 x2
Be 0.5000 0.0000 0.5000 x1
In 0.5000 0.5000 0.0000 x1
Pd 0.0145 0.1747 0.6461 x2
Pd 0.4350 0.2058 0.7714 x2
Pd 0.4687 0.3422 0.3576 x2

ΔH_f (0 K) (eV/atom): -0.62



# 5
AcPmPb: optimized geometry, GGA-PBE.

Lattice parameters (Å, degrees): 3.8317 3.8317 8.6411 90.00 90.00 120.00
Space group P3m1 (No. 156)
Unique sites:
Ac 0.0000 0.0000 0.0000 x1
Pm 0.6667 0.3333 0.3594 x1
Pb 0.3333 0.6667 0.6650 x1

Energy relative to the lowest polymorph listed for this composition (meV/atom): 298
ΔH_f (0 K) (eV/atom): -0.14